Record 1
DFT (PBE) results for a geometry-optimized Tc2PbSe structure.

## Properties
Energy relative to the elements, uncorrected: 0.795 eV per atom
Excess energy over the best structure of this formula in the dataset: 0.6425 eV/atom
Symmetry: No. 47

Cell: 3.150 4.457 5.271 Å, 90.00 90.00 90.00°
Positions (direct):
Tc 0.000 0.000 0.000
Tc 0.500 0.000 0.500
Pb 0.000 0.500 0.500
Se 0.500 0.500 0.000

Record 2
DFT (PBE) results for a geometry-optimized InPb5 structure.

## Properties
Energy of formation from the pure elements: 0.012 eV per atom
Excess energy over the best structure of this formula in the dataset: 0.0137 eV/atom
Symmetry: No. 38

Cell: 5.603 9.731 9.731 Å, 20.42 90.00 90.00°
Positions (direct):
In 0.000 0.000 0.000
Pb 0.000 0.332 0.332
Pb 0.000 0.663 0.663
Pb 0.500 0.227 0.227
Pb 0.500 0.559 0.559
Pb 0.500 0.896 0.896

Record 3
DFT (PBE) results for a geometry-optimized Pa2TePt structure.

## Properties
Energy relative to the elements, uncorrected: -0.720 eV per atom
Excess energy over the best structure of this formula in the dataset: 0.0000 eV/atom
Symmetry: No. 164

Cell: 3.897 3.897 7.966 Å, 90.00 90.00 120.00°
Positions (direct):
Pa 0.333 0.667 0.278
Pa 0.667 0.333 0.722
Te 0.000 0.000 0.000
Pt 0.000 0.000 0.500

Record 4
DFT (PBE) results for a geometry-optimized NaSn4 structure.

## Properties
Energy of formation from the pure elements: -0.063 eV per atom
Symmetry: No. 87

Cell: 6.135 6.135 6.135 Å, 96.69 96.69 140.09°
Positions (direct):
Na 0.000 0.000 0.000
Sn 0.176 0.613 0.790
Sn 0.387 0.176 0.563
Sn 0.613 0.824 0.437
Sn 0.824 0.387 0.210

Record 5
DFT (PBE) results for a geometry-optimized Mn2NbCu structure.

## Properties
Energy of formation from the pure elements: 0.107 eV per atom
Excess energy over the best structure of this formula in the dataset: 0.0384 eV/atom
Symmetry: No. 225

Cell: 4.256 4.256 4.256 Å, 60.00 60.00 60.00°
Positions (direct):
Mn 0.250 0.250 0.250
Mn 0.750 0.750 0.750
Nb 0.000 0.000 0.000
Cu 0.500 0.500 0.500

Record 6
DFT (PBE) results for a geometry-optimized Na4MgSc3Te8 structure.

## Properties
Energy relative to the elements, uncorrected: -1.068 eV per atom
Symmetry: No. 166

Cell: 9.064 9.064 9.064 Å, 55.15 55.15 55.15°
Positions (direct):
Na 0.000 0.000 0.000
Na 0.000 0.500 0.500
Na 0.500 0.000 0.500
Na 0.500 0.500 0.000
Mg 0.500 0.500 0.500
Sc 0.000 0.000 0.500
Sc 0.000 0.500 0.000
Sc 0.500 0.000 0.000
Te 0.237 0.742 0.742
Te 0.240 0.240 0.240
Te 0.258 0.258 0.763
Te 0.258 0.763 0.258
Te 0.742 0.237 0.742
Te 0.742 0.742 0.237
Te 0.760 0.760 0.760
Te 0.763 0.258 0.258

Record 7
DFT (PBE) results for a geometry-optimized CrAsRh3 structure.

## Properties
Energy of formation from the pure elements: 0.890 eV per atom
Symmetry: No. 221

Cell: 4.463 4.463 4.463 Å, 90.00 90.00 90.00°
Positions (direct):
Cr 0.000 0.000 0.000
As 0.500 0.500 0.500
Rh 0.000 0.000 0.500
Rh 0.000 0.500 0.000
Rh 0.500 0.000 0.000

Record 8
DFT (PBE) results for a geometry-optimized SrBrCl structure.

## Properties
Energy relative to the elements, uncorrected: -2.293 eV per atom
Symmetry: No. 6

Cell: 5.729 4.740 7.668 Å, 90.00 106.81 90.00°
Positions (direct):
Sr 0.000 0.000 0.000
Sr 0.351 0.500 0.547
Br 0.465 0.000 0.328
Br 0.916 0.500 0.716
Cl 0.440 0.000 0.817
Cl 0.941 0.500 0.207

Record 9
DFT (PBE) results for a geometry-optimized MnRe3Ge structure.

## Properties
Energy of formation from the pure elements: 1.610 eV per atom
Excess energy over the best structure of this formula in the dataset: 0.0000 eV/atom
Symmetry: No. 221

Cell: 4.457 4.457 4.457 Å, 90.00 90.00 90.00°
Positions (direct):
Mn 0.000 0.000 0.000
Re 0.000 0.000 0.500
Re 0.000 0.500 0.000
Re 0.500 0.000 0.000
Ge 0.500 0.500 0.500

Record 10
DFT (PBE) results for a geometry-optimized BeCuSe2 structure.

## Properties
Energy relative to the elements, uncorrected: 0.448 eV per atom
Symmetry: No. 65

Cell: 4.462 4.462 3.194 Å, 90.00 90.00 90.13°
Positions (direct):
Be 0.000 0.000 0.000
Cu 0.500 0.500 0.000
Se 0.000 0.500 0.500
Se 0.500 0.000 0.500

Record 11
DFT (PBE) results for a geometry-optimized Sc4TlCu structure.

## Properties
Energy of formation from the pure elements: 0.026 eV per atom
Excess energy over the best structure of this formula in the dataset: 0.0000 eV/atom
Symmetry: No. 166

Cell: 8.070 8.070 8.070 Å, 34.11 34.11 34.11°
Positions (direct):
Sc 0.115 0.115 0.115
Sc 0.366 0.366 0.366
Sc 0.634 0.634 0.634
Sc 0.885 0.885 0.885
Tl 0.500 0.500 0.500
Cu 0.000 0.000 0.000

Record 12
DFT (PBE) results for a geometry-optimized VZnAg2 structure.

## Properties
Energy of formation from the pure elements: 0.537 eV per atom
Symmetry: No. 122

Cell: 5.865 5.865 5.865 Å, 102.67 102.67 124.15°
Positions (direct):
V 0.000 0.000 0.000
V 0.750 0.250 0.500
Zn 0.250 0.750 0.500
Zn 0.500 0.500 0.000
Ag 0.144 0.625 0.019
Ag 0.375 0.394 0.519
Ag 0.606 0.125 0.981
Ag 0.875 0.856 0.481